(1)
This record from Alexandria describes a relaxed structure of Lu2NbTe. The functional is PBE.

The total energy is -5.23 eV per atom. The calculation puts the uncorrected formation energy at 0.33 eV per atom.

The space group is R-3m (No. 166, hexagonal axes) and the conventional cell measures 3.3592, 3.3592 and 31.7214 Å, with angles of 90.00, 90.00 and 120.00 degrees. The asymmetric unit holds Lu at (0.0000, 0.0000, 0.0900), Nb at (0.0000, 0.0000, 0.0000) and Te at (0.0000, 0.0000, 0.5000).

=====

(2)
This record from Alexandria describes a relaxed structure of La4Nd2In3. The functional is PBE.

The energy relative to the elements comes out at -0.34 eV per atom. The total energy is -4.50 eV per atom.

The space group is C2/m (No. 12) and the conventional cell measures 11.313, 4.657 and 11.266 Å, with angles of 90.00, 109.38 and 90.00 degrees. The asymmetric unit holds La at (0.153, 0.000, 0.052), La at (0.161, 0.000, 0.387), Nd at (0.149, 0.000, 0.716), In at (0.000, 0.500, 0.171) and In at (0.000, 0.500, 0.500).

=====

(3)
This record from Alexandria describes a relaxed structure of RbCaGaSb2. The functional is PBE.

The total energy is -2.76 eV per atom. The calculation puts the uncorrected formation energy at 0.08 eV per atom.

The space group is P4/mmm (No. 123) and the conventional cell measures 5.600, 5.600 and 5.610 Å, with angles of 90.00, 90.00 and 90.00 degrees. The asymmetric unit holds Rb at (0.000, 0.000, 0.000), Ca at (0.500, 0.500, 0.000), Ga at (0.000, 0.000, 0.500) and Sb at (0.000, 0.500, 0.500).

=====

(4)
This record from Alexandria describes a relaxed structure of TiBi2SbAu. The functional is PBE.

The total energy is -3.61 eV per atom. The calculation puts the uncorrected formation energy at 1.00 eV per atom.

The space group is P4/mmm (No. 123) and the conventional cell measures 5.861, 5.861 and 5.021 Å, with angles of 90.00, 90.00 and 90.00 degrees. The asymmetric unit holds Ti at (0.000, 0.000, 0.000), Bi at (0.000, 0.500, 0.500), Sb at (0.500, 0.500, 0.500) and Au at (0.500, 0.500, 0.000).

=====

What did the first record say?
This record from Alexandria describes a relaxed structure of Lu2NbTe. The functional is PBE.

The total energy is -5.23 eV per atom. The calculation puts the uncorrected formation energy at 0.33 eV per atom.

The space group is R-3m (No. 166, hexagonal axes) and the conventional cell measures 3.3592, 3.3592 and 31.7214 Å, with angles of 90.00, 90.00 and 120.00 degrees. The asymmetric unit holds Lu at (0.0000, 0.0000, 0.0900), Nb at (0.0000, 0.0000, 0.0000) and Te at (0.0000, 0.0000, 0.5000).